Computed, not measured: a geometry-optimized Tc2SeBr structure at the PBE level of DFT.

Lattice parameters (Å, degrees): 3.194 3.194 8.286 90.00 90.00 122.83
Element x y z (fractional)
Tc 0.000 0.000 0.521
Tc 0.000 0.000 0.979
Br 0.500 0.500 0.250
Se 0.500 0.500 0.750

Output
The calculated total energy comes out at -5.6602 eV/atom. Its crystal system is orthorhombic. As for the raw formation energy: 0.8122 eV/atom.


Computed, not measured: a geometry-optimized Tc2SeBr structure at the PBE level of DFT.

Lattice parameters (Å, degrees): 4.462 4.462 4.462 60.00 60.00 60.00
Element x y z (fractional)
Tc 0.750 0.750 0.750
Tc 0.250 0.250 0.250
Se 0.000 0.000 0.000
Br 0.500 0.500 0.500

Output
The calculated total energy comes out at -5.8211 eV/atom. Its crystal system is cubic. As for the raw formation energy: 0.6512 eV/atom.


Computed, not measured: a geometry-optimized TcSeBr structure at the PBE level of DFT.

Lattice parameters (Å, degrees): 3.765 5.185 9.079 90.00 90.00 114.26
Element x y z (fractional)
Se 0.710 0.989 0.609
Se 0.210 0.489 0.391
Tc 0.209 0.980 0.434
Tc 0.709 0.480 0.566
Br 0.831 0.532 0.834
Br 0.331 0.032 0.166

Output
The calculated total energy comes out at -5.2765 eV/atom. Its crystal system is monoclinic. As for the raw formation energy: -0.1020 eV/atom.


Computed, not measured: a geometry-optimized TcSe2Br structure at the PBE level of DFT.

Lattice parameters (Å, degrees): 17.379 5.837 7.550 90.00 150.33 90.00
Last column: magnetic moment on the atom in μB.
Element x y z (fractional)
Br 0.996 0.500 0.241  0.01
Br 0.496 0.000 0.741  0.01
Br 0.004 0.500 0.759  0.01
Br 0.504 0.000 0.259  0.01
Se 0.353 0.500 0.705  0.00
Se 0.853 0.000 0.205  0.00
Se 0.146 0.000 0.291  0.00
Se 0.147 0.000 0.795  0.00
Se 0.647 0.500 0.295  0.00
Se 0.354 0.500 0.209  0.00
Se 0.854 0.000 0.709  0.00
Se 0.646 0.500 0.791  0.00
Tc 0.250 0.250 0.250  0.85
Tc 0.250 0.750 0.250  0.85
Tc 0.750 0.250 0.750  0.85
Tc 0.750 0.750 0.750  0.85

Output
The calculated total energy comes out at -4.9742 eV/atom. Its crystal system is orthorhombic. As for the raw formation energy: -0.2222 eV/atom.


Computed, not measured: a geometry-optimized Tc2SeBr structure at the PBE level of DFT.

Lattice parameters (Å, degrees): 8.132 8.132 8.132 21.86 21.86 21.86
Element x y z (fractional)
Tc 0.495 0.495 0.495
Tc 0.005 0.005 0.005
Br 0.250 0.250 0.250
Se 0.750 0.750 0.750

Output
The calculated total energy comes out at -5.9674 eV/atom. Its crystal system is trigonal. As for the raw formation energy: 0.5050 eV/atom.


Computed, not measured: a geometry-optimized TcSe2Br structure at the PBE level of DFT.

Lattice parameters (Å, degrees): 3.278 8.940 7.927 84.43 101.69 89.27
Element x y z (fractional)
Se 0.161 0.875 0.568
Se 0.803 0.147 0.877
Se 0.376 0.758 0.998
Se 0.556 0.164 0.374
Br 0.471 0.408 0.215
Br 0.175 0.428 0.637
Tc 0.179 0.146 0.625
Tc 0.778 0.894 0.809

Output
The calculated total energy comes out at -5.0031 eV/atom. Its crystal system is triclinic. As for the raw formation energy: -0.2511 eV/atom.


Computed, not measured: a geometry-optimized TcSeBr structure at the PBE level of DFT.

Lattice parameters (Å, degrees): 3.607 6.942 7.672 96.02 79.05 89.13
Element x y z (fractional)
Se 0.836 0.838 0.299
Se 0.164 0.162 0.701
Br 0.366 0.316 0.191
Br 0.634 0.684 0.809
Tc 0.294 0.064 0.386
Tc 0.706 0.936 0.614

Output
The calculated total energy comes out at -5.4483 eV/atom. Its crystal system is triclinic. As for the raw formation energy: -0.2739 eV/atom.


Computed, not measured: a geometry-optimized TcSeBr3 structure at the PBE level of DFT.

Lattice parameters (Å, degrees): 7.718 8.878 11.031 90.00 88.34 90.00
Last column: magnetic moment on the atom in μB.
Element x y z (fractional)
Br 0.251 0.385 0.302  0.03
Br 0.918 0.647 0.414  0.01
Br 0.749 0.615 0.698  0.03
Br 0.749 0.385 0.198  0.03
Br 0.082 0.353 0.586  0.01
Br 0.918 0.353 0.914  0.01
Br 0.667 0.698 0.997  0.06
Br 0.082 0.647 0.086  0.01
Br 0.333 0.698 0.503  0.06
Br 0.667 0.302 0.497  0.06
Br 0.251 0.615 0.802  0.03
Br 0.333 0.302 0.003  0.06
Tc 0.059 0.353 0.129  0.92
Tc 0.941 0.647 0.871  0.92
Tc 0.059 0.647 0.629  0.92
Tc 0.941 0.353 0.371  0.92
Se 0.946 0.919 0.848  -0.08
Se 0.054 0.081 0.152  -0.08
Se 0.054 0.919 0.652  -0.08
Se 0.946 0.081 0.348  -0.08

Output
The calculated total energy comes out at -4.0555 eV/atom. Its crystal system is monoclinic. As for the raw formation energy: -0.2816 eV/atom.


Computed, not measured: a geometry-optimized Tc2SeBr structure at the PBE level of DFT.

Lattice parameters (Å, degrees): 3.008 5.713 4.159 90.00 90.00 90.00
Last column: magnetic moment on the atom in μB.
Element x y z (fractional)
Tc 0.500 0.500 0.000  -0.55
Tc 0.000 0.000 0.000  1.16
Br 0.500 0.000 0.500  0.04
Se 0.000 0.500 0.500  0.01

Output
The calculated total energy comes out at -5.5617 eV/atom. Its crystal system is orthorhombic. As for the raw formation energy: 0.9106 eV/atom.


Computed, not measured: a geometry-optimized TcSeBr structure at the PBE level of DFT.

Lattice parameters (Å, degrees): 7.238 7.237 7.237 155.26 155.26 35.27
Element x y z (fractional)
Tc 0.676 0.676 0.000
Se 0.278 0.278 0.000
Br 0.046 0.046 0.000

Output
The calculated total energy comes out at -5.1041 eV/atom. Its crystal system is tetragonal. As for the raw formation energy: 0.0703 eV/atom.


Computed, not measured: a geometry-optimized TcSeBr2 structure at the PBE level of DFT.

Lattice parameters (Å, degrees): 6.791 6.791 6.791 152.92 136.28 52.19
Element x y z (fractional)
Br 0.921 0.921 0.000
Br 0.244 0.744 0.500
Tc 0.742 0.242 0.500
Se 0.593 0.593 0.000

Output
The calculated total energy comes out at -4.1382 eV/atom. Its crystal system is orthorhombic. As for the raw formation energy: 0.1609 eV/atom.


Computed, not measured: a geometry-optimized TcSe2Br structure at the PBE level of DFT.

Lattice parameters (Å, degrees): 4.212 8.034 7.275 73.75 87.21 95.64
Element x y z (fractional)
Tc 0.008 0.895 0.851
Tc 0.649 0.037 0.672
Se 0.312 0.796 0.621
Se 0.349 0.133 0.920
Se 0.854 0.111 0.327
Se 0.623 0.913 0.157
Br 0.755 0.589 0.992
Br 0.966 0.347 0.564

Output
The calculated total energy comes out at -4.9829 eV/atom. Its crystal system is triclinic. As for the raw formation energy: -0.2310 eV/atom.